ScVSn2O after structural relaxation, computed with PBE with a Hubbard U.

Cell: 4.896 4.148 4.896 Å, 90.00 90.00 90.00°
Fractional positions:
Sc1 0.000 0.500 0.000
Sn1 0.000 0.000 0.500
Sn2 0.500 0.000 0.000
O1 0.000 0.000 0.000
V1 0.500 0.500 0.500

**Volume**: 19.89 A^3/atom
**Total DFT energy (no corrections)**: -5.8134 eV per atom
**Space-group type**: P4/mmm
**D(E_F)**: 2.9 states/eV/f.u.